[1]
DFT (PBE) results for crystalline DyHO2 at its relaxed geometry.

Cell lengths 3.531, 3.531, 5.026 Å; angles 69.43, 69.43, 60.00 degrees
Positions (direct):
H1 0.000 0.000 0.000
O1 0.089 0.089 0.734
O2 0.911 0.911 0.266
Dy1 0.500 0.500 0.500

Output
- Spin magnetization: 0.0 Bohr magnetons per cell
- E_tot: -7.0488 eV per atom
- Symmetry: R-3m (166)

=====

[2]
DFT (PBE) results for crystalline DyHO2 at its relaxed geometry.

Cell lengths 3.515, 4.890, 5.498 Å; angles 90.00, 90.00, 90.00 degrees
Positions (direct):
Dy1 0.000 0.720 0.984
Dy2 0.500 0.280 0.484
H1 0.500 0.184 0.961
H2 0.000 0.816 0.461
O1 0.500 0.016 0.854
O2 0.000 0.518 0.623
O3 0.000 0.984 0.354
O4 0.500 0.482 0.123

Output
- Spin magnetization: 0.0 Bohr magnetons per cell
- E_tot: -7.1087 eV per atom
- Symmetry: Pmn2_1 (31)

=====

[3]
DFT (PBE) results for crystalline DyHO2 at its relaxed geometry.

Cell lengths 3.527, 3.527, 9.217 Å; angles 90.00, 90.00, 120.00 degrees
Positions (direct):
Dy1 0.000 0.000 0.000
Dy2 0.000 0.000 0.500
H1 0.333 0.667 0.250
H2 0.667 0.333 0.750
O1 0.333 0.667 0.117
O2 0.333 0.667 0.383
O3 0.667 0.333 0.883
O4 0.667 0.333 0.617

Output
- Spin magnetization: 0.0 Bohr magnetons per cell
- E_tot: -7.0428 eV per atom
- Symmetry: P6_3/mmc (194)